Lu3BiSe2 | PBE | optimized geometry

Computed properties:
Uncorrected energy = -5.386 eV/atom
Crystal system = trigonal
Total moment = 0.001 μB/atom
Space group = P-3m1, No. 164

Unit cell a=4.1463 b=4.1463 c=9.9781 alpha=90.00 beta=90.00 gamma=120.00
Last column: nearest neighbours and their distance in Å.
Sites, in units of the cell vectors:
Lu 0.0000 0.0000 0.0000  6 Se 2.85
Lu 0.3333 0.6667 0.6897  3 Se 2.85, 3 Bi 3.05
Lu 0.6667 0.3333 0.3103  3 Se 2.85, 3 Bi 3.05
Bi 0.0000 0.0000 0.5000  6 Lu 3.05
Se 0.3333 0.6667 0.1552  6 Lu 2.85
Se 0.6667 0.3333 0.8448  6 Lu 2.85